## A
The following is a DFT calculation (PBE) of a relaxed structure of Y2Tm2Sc3.

a = 8.0567 Å, b = 8.0567 Å, c = 8.0567 Å
α = 109.47°, β = 109.47°, γ = 109.47°
Fractional positions:
Y 0.0000 0.8182 0.5000
Y 0.5000 0.0000 0.8182
Y 0.6818 0.6818 0.6818
Y 0.8182 0.5000 0.0000
Tm 0.0000 0.4128 0.5000
Tm 0.0872 0.0872 0.0872
Tm 0.4128 0.5000 0.0000
Tm 0.5000 0.0000 0.4128
Sc 0.1949 0.7500 0.9449
Sc 0.2500 0.5551 0.3051
Sc 0.3051 0.2500 0.5551
Sc 0.5551 0.3051 0.2500
Sc 0.7500 0.9449 0.1949
Sc 0.9449 0.1949 0.7500

Output
Volume: 403 Å³/cell
Spin magnetization: 0.00 μB per cell

***

## B
The following is a DFT calculation (PBE) of a relaxed structure of Y2Tm2Sc3.

a = 8.0461 Å, b = 8.0461 Å, c = 8.0461 Å
α = 109.47°, β = 109.47°, γ = 109.47°
Fractional positions:
Y 0.0000 0.0810 0.5000
Y 0.0810 0.5000 0.0000
Y 0.4190 0.4190 0.4190
Y 0.5000 0.0000 0.0810
Tm 0.0000 0.6801 0.5000
Tm 0.5000 0.0000 0.6801
Tm 0.6801 0.5000 0.0000
Tm 0.8199 0.8199 0.8199
Sc 0.1957 0.9457 0.2500
Sc 0.2500 0.1957 0.9457
Sc 0.3043 0.5543 0.7500
Sc 0.5543 0.7500 0.3043
Sc 0.7500 0.3043 0.5543
Sc 0.9457 0.2500 0.1957

Output
Volume: 401 Å³/cell
Spin magnetization: 0.00 μB per cell

***

Winner for stability: A

***

## A
The following is a DFT calculation (PBE) of a relaxed structure of YTmScZn.

a = 7.3461 Å, b = 7.3461 Å, c = 7.3461 Å
α = 90.00°, β = 90.00°, γ = 90.00°
Fractional positions:
Y 0.0000 0.0000 0.0000
Y 0.0000 0.5000 0.5000
Y 0.5000 0.0000 0.5000
Y 0.5000 0.5000 0.0000
Tm 0.0000 0.0000 0.5000
Tm 0.0000 0.5000 0.0000
Tm 0.5000 0.0000 0.0000
Tm 0.5000 0.5000 0.5000
Sc 0.2500 0.2500 0.2500
Sc 0.2500 0.7500 0.7500
Sc 0.7500 0.2500 0.7500
Sc 0.7500 0.7500 0.2500
Zn 0.2500 0.2500 0.7500
Zn 0.2500 0.7500 0.2500
Zn 0.7500 0.2500 0.2500
Zn 0.7500 0.7500 0.7500

Output
Volume: 396 Å³/cell
Spin magnetization: 0.01 μB per cell

***

## B
The following is a DFT calculation (PBE) of a relaxed structure of YTmScZn.

a = 3.4960 Å, b = 3.4960 Å, c = 8.2713 Å
α = 90.00°, β = 90.00°, γ = 90.00°
Fractional positions:
Y 0.0000 0.0000 0.0000
Tm 0.0000 0.0000 0.5658
Sc 0.5000 0.5000 0.2874
Zn 0.5000 0.5000 0.7770

Output
Volume: 101 Å³/cell
Spin magnetization: 0.00 μB per cell

***

Winner for stability: B

***

## A
The following is a DFT calculation (PBE) of a relaxed structure of Tm3ScZn2.

a = 4.9255 Å, b = 8.8819 Å, c = 6.4478 Å
α = 90.00°, β = 90.00°, γ = 90.00°
Fractional positions:
Tm 0.0000 0.0510 0.0000
Tm 0.0000 0.3322 0.3409
Tm 0.0000 0.6678 0.8409
Tm 0.0000 0.9490 0.5000
Tm 0.5000 0.1818 0.6870
Tm 0.5000 0.8182 0.1870
Sc 0.5000 0.4479 0.0340
Sc 0.5000 0.5521 0.5340
Zn 0.0000 0.3495 0.8005
Zn 0.0000 0.6505 0.3005
Zn 0.5000 0.1535 0.2332
Zn 0.5000 0.8465 0.7332

Output
Volume: 282 Å³/cell
Spin magnetization: 0.00 μB per cell

***

## B
The following is a DFT calculation (PBE) of a relaxed structure of Tm3ScZn2.

a = 3.4900 Å, b = 3.4900 Å, c = 11.7125 Å
α = 90.00°, β = 90.00°, γ = 90.00°
Fractional positions:
Tm 0.0000 0.0000 0.0000
Tm 0.0000 0.0000 0.3007
Tm 0.0000 0.0000 0.6993
Sc 0.5000 0.5000 0.5000
Zn 0.5000 0.5000 0.1505
Zn 0.5000 0.5000 0.8495

Output
Volume: 143 Å³/cell
Spin magnetization: 0.00 μB per cell

***

Winner for stability: A

***

## A
The following is a DFT calculation (PBE) of a relaxed structure of Tm2ScZn2.

a = 3.5006 Å, b = 4.9459 Å, c = 12.9204 Å
α = 90.00°, β = 97.82°, γ = 90.00°
Fractional positions:
Tm 0.0457 0.2500 0.0914
Tm 0.2324 0.2500 0.4656
Tm 0.7676 0.7500 0.5344
Tm 0.9543 0.7500 0.9086
Sc 0.1459 0.7500 0.2911
Sc 0.8541 0.2500 0.7089
Zn 0.3600 0.7500 0.7204
Zn 0.4467 0.2500 0.8924
Zn 0.5533 0.7500 0.1076
Zn 0.6400 0.2500 0.2796

Output
Volume: 222 Å³/cell
Spin magnetization: 0.00 μB per cell

***

## B
The following is a DFT calculation (PBE) of a relaxed structure of Tm2ScZn2.

a = 3.8033 Å, b = 6.5182 Å, c = 9.3804 Å
α = 90.00°, β = 90.00°, γ = 90.00°
Fractional positions:
Tm 0.0000 0.0000 0.2117
Tm 0.0000 0.0000 0.7883
Tm 0.5000 0.5000 0.2883
Tm 0.5000 0.5000 0.7117
Sc 0.0000 0.5000 0.0000
Sc 0.5000 0.0000 0.5000
Zn 0.0000 0.3030 0.5000
Zn 0.0000 0.6970 0.5000
Zn 0.5000 0.1970 0.0000
Zn 0.5000 0.8030 0.0000

Output
Volume: 233 Å³/cell
Spin magnetization: 0.00 μB per cell

***

Winner for stability: A

***

## A
The following is a DFT calculation (PBE) of a relaxed structure of TmZr6Sc12.

a = 7.8116 Å, b = 8.0680 Å, c = 8.3631 Å
α = 74.57°, β = 82.22°, γ = 64.94°
Fractional positions:
Tm 0.0000 0.0000 0.0000
Zr 0.0494 0.2960 0.2475
Zr 0.1780 0.9446 0.5629
Zr 0.2132 0.2715 0.8878
Zr 0.7868 0.7285 0.1122
Zr 0.8220 0.0554 0.4371
Zr 0.9506 0.7040 0.7525
Sc 0.0935 0.6519 0.3874
Sc 0.2573 0.5619 0.0414
Sc 0.3448 0.8939 0.1996
Sc 0.3706 0.2108 0.5205
Sc 0.4151 0.5255 0.6822
Sc 0.4598 0.8478 0.8352
Sc 0.5402 0.1522 0.1648
Sc 0.5849 0.4745 0.3178
Sc 0.6294 0.7892 0.4795
Sc 0.6552 0.1061 0.8004
Sc 0.7427 0.4381 0.9586
Sc 0.9065 0.3481 0.6126

Output
Volume: 460 Å³/cell
Spin magnetization: 0.00 μB per cell

***

## B
The following is a DFT calculation (PBE) of a relaxed structure of TmZr6Sc12.

a = 8.0329 Å, b = 8.0329 Å, c = 8.0329 Å
α = 98.67°, β = 98.67°, γ = 98.67°
Fractional positions:
Tm 0.0000 0.0000 0.0000
Zr 0.1977 0.1977 0.7479
Zr 0.1977 0.7479 0.1977
Zr 0.2521 0.8023 0.8023
Zr 0.7479 0.1977 0.1977
Zr 0.8023 0.2521 0.8023
Zr 0.8023 0.8023 0.2521
Sc 0.1215 0.5000 0.8785
Sc 0.1215 0.8785 0.5000
Sc 0.1906 0.4733 0.4733
Sc 0.4733 0.1906 0.4733
Sc 0.4733 0.4733 0.1906
Sc 0.5000 0.1215 0.8785
Sc 0.5000 0.8785 0.1215
Sc 0.5267 0.5267 0.8094
Sc 0.5267 0.8094 0.5267
Sc 0.8094 0.5267 0.5267
Sc 0.8785 0.1215 0.5000
Sc 0.8785 0.5000 0.1215

Output
Volume: 499 Å³/cell
Spin magnetization: 0.00 μB per cell

***

Winner for stability: A

***

## A
The following is a DFT calculation (PBE) of a relaxed structure of Tm2Zr4Sc5.

a = 11.2134 Å, b = 10.5991 Å, c = 5.6772 Å
α = 81.00°, β = 69.00°, γ = 30.00°
Fractional positions:
Tm 0.1290 0.1290 0.8710
Tm 0.8710 0.8710 0.1290
Zr 0.2118 0.5311 0.4689
Zr 0.4689 0.7882 0.2118
Zr 0.5311 0.2118 0.7882
Zr 0.7882 0.4689 0.5311
Sc 0.0000 0.0000 0.5000
Sc 0.2500 0.2500 0.2500
Sc 0.5000 0.5000 0.0000
Sc 0.5000 0.5000 0.5000
Sc 0.7500 0.7500 0.7500

Output
Volume: 297 Å³/cell
Spin magnetization: 0.00 μB per cell

***

## B
The following is a DFT calculation (PBE) of a relaxed structure of Tm2Zr4Sc5.

a = 6.5594 Å, b = 6.5594 Å, c = 9.5014 Å
α = 120.92°, β = 120.92°, γ = 55.35°
Fractional positions:
Tm 0.1763 0.1763 0.2394
Tm 0.8237 0.8237 0.7606
Zr 0.2336 0.2336 0.9639
Zr 0.2373 0.2373 0.6257
Zr 0.7627 0.7627 0.3743
Zr 0.7664 0.7664 0.0361
Sc 0.2489 0.7298 0.3286
Sc 0.2702 0.7511 0.6714
Sc 0.5000 0.5000 0.0000
Sc 0.7298 0.2489 0.3286
Sc 0.7511 0.2702 0.6714

Output
Volume: 274 Å³/cell
Spin magnetization: 0.00 μB per cell

***

Winner for stability: B

***

## A
The following is a DFT calculation (PBE) of a relaxed structure of Tm2Zr3Sc4.

a = 3.3196 Å, b = 3.3196 Å, c = 24.0022 Å
α = 90.00°, β = 90.00°, γ = 120.00°
Fractional positions:
Tm 0.0000 0.0000 0.0000
Tm 0.0000 0.0000 0.2209
Zr 0.0000 0.0000 0.7787
Zr 0.3333 0.6667 0.1124
Zr 0.3333 0.6667 0.4576
Sc 0.0000 0.0000 0.3542
Sc 0.0000 0.0000 0.5634
Sc 0.3333 0.6667 0.6736
Sc 0.3333 0.6667 0.8832

Output
Volume: 229 Å³/cell
Spin magnetization: 1.83 μB per cell

***

## B
The following is a DFT calculation (PBE) of a relaxed structure of Tm2Zr3Sc4.

a = 3.3203 Å, b = 3.3203 Å, c = 23.9993 Å
α = 90.00°, β = 90.00°, γ = 120.00°
Fractional positions:
Tm 0.0000 0.0000 0.1107
Tm 0.0000 0.0000 0.8893
Zr 0.0000 0.0000 0.3329
Zr 0.0000 0.0000 0.6671
Zr 0.6667 0.3333 0.0000
Sc 0.6667 0.3333 0.2277
Sc 0.6667 0.3333 0.4366
Sc 0.6667 0.3333 0.5634
Sc 0.6667 0.3333 0.7723

Output
Volume: 229 Å³/cell
Spin magnetization: 1.46 μB per cell

***

Winner for stability: A

***

## A
The following is a DFT calculation (PBE) of a relaxed structure of Tm2ZrSc6.

a = 3.3323 Å, b = 3.3323 Å, c = 24.0668 Å
α = 90.00°, β = 90.00°, γ = 120.00°
Fractional positions:
Tm 0.0000 0.0000 0.1744
Tm 0.0000 0.0000 0.8256
Zr 0.6667 0.3333 0.5000
Sc 0.0000 0.0000 0.3956
Sc 0.0000 0.0000 0.6044
Sc 0.6667 0.3333 0.0627
Sc 0.6667 0.3333 0.2876
Sc 0.6667 0.3333 0.7124
Sc 0.6667 0.3333 0.9373

Output
Volume: 231 Å³/cell
Spin magnetization: 2.41 μB per cell

***

## B
The following is a DFT calculation (PBE) of a relaxed structure of Tm2ZrSc6.

a = 8.7856 Å, b = 8.7856 Å, c = 6.0932 Å
α = 97.90°, β = 97.90°, γ = 95.42°
Fractional positions:
Tm 0.1182 0.1715 0.3756
Tm 0.1715 0.1182 0.8756
Tm 0.8285 0.8818 0.1244
Tm 0.8818 0.8285 0.6244
Zr 0.3840 0.6160 0.7500
Zr 0.6160 0.3840 0.2500
Sc 0.0432 0.4531 0.7388
Sc 0.1639 0.7786 0.0022
Sc 0.2214 0.8361 0.4978
Sc 0.2848 0.4603 0.1828
Sc 0.4531 0.0432 0.2388
Sc 0.4603 0.2848 0.6828
Sc 0.5397 0.7152 0.3172
Sc 0.5469 0.9568 0.7612
Sc 0.7152 0.5397 0.8172
Sc 0.7786 0.1639 0.5022
Sc 0.8361 0.2214 0.9978
Sc 0.9568 0.5469 0.2612

Output
Volume: 458 Å³/cell
Spin magnetization: 0.00 μB per cell

***

Winner for stability: A